Entry from Alexandria via LeMat-Bulk: BaCaPr2Hg4 after structural relaxation (GGA-PBE).

abc: 9.7186 9.7186 9.7186
angles: 33.01 33.01 33.01
Closest atoms and distances in Å follow each position.
Sites, in units of the cell vectors:
Ba  0.0000  0.0000  0.0000  8 Hg 3.46-3.52
Ca  0.5000  0.5000  0.5000  8 Hg 3.26-3.36
Pr  0.2458  0.2458  0.2458  7 Hg 3.25-3.38
Pr  0.7542  0.7542  0.7542  7 Hg 3.25-3.38
Hg  0.1277  0.1277  0.1277  4 Pr 3.25-3.38, 3 Ca 3.36, 1 Ba 3.52
Hg  0.3818  0.3818  0.3818  1 Ca 3.26, 3 Pr 3.37, 3 Ba 3.46
Hg  0.6182  0.6182  0.6182  1 Ca 3.26, 3 Pr 3.37, 3 Ba 3.46
Hg  0.8723  0.8723  0.8723  4 Pr 3.25-3.38, 3 Ca 3.36, 1 Ba 3.52

* space group: R-3m (166)
* energy of formation from the pure elements: -3.78 eV per formula unit